Material: CePm3Nd2P6
Method: DFT, PBE
State: relaxed

Cell: 4.1372 8.2749 9.2364 Å, 102.91 102.94 90.00°
Sites, in units of the cell vectors:
1 P 0.3357 0.9196 0.6714
2 P 0.3340 0.4152 0.6679
3 P 0.6660 0.5848 0.3321
4 P 0.0008 0.7553 0.0015
5 P 0.9992 0.2447 0.9985
6 P 0.6643 0.0804 0.3286
7 Pm 0.5000 0.5000 0.0000
8 Pm 0.1676 0.8327 0.3351
9 Pm 0.8324 0.1673 0.6649
10 Nd 0.1670 0.3347 0.3340
11 Nd 0.8330 0.6653 0.6660
12 Ce 0.5000 0.0000 0.0000

Properties
Fermi-level density of states in states/eV/f.u.: 5.767
ΔH_f (0 K) in eV per atom: -1.552
ρ in g/cm³: 5.81
DFT total energy in eV/cell: -80.8

***

Material: Ce3Pm2NdP6
Method: DFT, PBE
State: relaxed

Cell: 7.1255 7.1255 7.1252 Å, 99.59 99.59 120.01°
Sites, in units of the cell vectors:
1 Pm 0.3333 0.6667 0.0000
2 Pm 0.6667 0.3333 0.0000
3 P 0.9145 0.5800 0.7436
4 P 0.7509 0.7509 0.2563
5 P 0.0855 0.4200 0.2564
6 P 0.5800 0.9145 0.7436
7 P 0.2491 0.2491 0.7437
8 P 0.4200 0.0855 0.2564
9 Ce 0.1665 0.8335 0.5000
10 Ce 0.8335 0.1665 0.5000
11 Ce 0.5000 0.5000 0.5000
12 Nd 0.0000 0.0000 0.0000

Properties
Fermi-level density of states in states/eV/f.u.: 14.405
ΔH_f (0 K) in eV per atom: -1.536
ρ in g/cm³: 5.85
DFT total energy in eV/cell: -83.0

***

Material: CePm2Nd3P6
Method: DFT, PBE
State: relaxed

Cell: 7.1672 7.1672 7.1718 Å, 99.59 99.59 119.99°
Sites, in units of the cell vectors:
1 Pm 0.6664 0.3336 0.0000
2 Pm 0.3336 0.6664 0.0000
3 P 0.4101 0.0817 0.2453
4 P 0.5899 0.9183 0.7547
5 P 0.9183 0.5899 0.7547
6 P 0.2465 0.2465 0.7551
7 P 0.7535 0.7535 0.2449
8 P 0.0817 0.4101 0.2453
9 Nd 0.1675 0.8325 0.5000
10 Nd 0.8325 0.1675 0.5000
11 Nd 0.5000 0.5000 0.5000
12 Ce 0.0000 0.0000 0.0000

Properties
Fermi-level density of states in states/eV/f.u.: 5.134
ΔH_f (0 K) in eV per atom: -1.551
ρ in g/cm³: 5.79
DFT total energy in eV/cell: -80.8

***

Material: Ce2Pm3NdP6
Method: DFT, PBE
State: relaxed

Cell: 7.1361 7.1361 7.1342 Å, 99.60 99.60 119.99°
Sites, in units of the cell vectors:
1 P 0.5792 0.9179 0.7538
2 P 0.0821 0.4208 0.2462
3 P 0.2564 0.2564 0.7534
4 P 0.4208 0.0821 0.2462
5 P 0.7436 0.7436 0.2466
6 P 0.9179 0.5792 0.7538
7 Pm 0.5000 0.5000 0.5000
8 Pm 0.1657 0.8343 0.5000
9 Pm 0.8343 0.1657 0.5000
10 Ce 0.3331 0.6669 0.0000
11 Ce 0.6669 0.3331 0.0000
12 Nd 0.0000 0.0000 0.0000

Properties
Fermi-level density of states in states/eV/f.u.: 9.785
ΔH_f (0 K) in eV per atom: -1.548
ρ in g/cm³: 5.85
DFT total energy in eV/cell: -81.9

***

Material: Ce2Pr3NdP6
Method: DFT, PBE
State: relaxed

Cell: 7.1967 7.1967 7.2004 Å, 99.59 99.59 120.00°
Sites, in units of the cell vectors:
1 Pr 0.1657 0.8343 0.5000
2 Pr 0.5000 0.5000 0.5000
3 Pr 0.8343 0.1657 0.5000
4 P 0.2581 0.2581 0.7581
5 P 0.0806 0.4193 0.2417
6 P 0.5807 0.9194 0.7583
7 P 0.9194 0.5807 0.7583
8 P 0.7419 0.7419 0.2419
9 P 0.4193 0.0806 0.2417
10 Ce 0.6669 0.3331 0.0000
11 Ce 0.3331 0.6669 0.0000
12 Nd 0.0000 0.0000 0.0000

Properties
Fermi-level density of states in states/eV/f.u.: 10.329
ΔH_f (0 K) in eV per atom: -1.525
ρ in g/cm³: 5.63
DFT total energy in eV/cell: -81.7

***

Material: Ce2PrNdP4
Method: DFT, PBE
State: relaxed

Cell: 4.1341 7.1637 7.1606 Å, 70.54 90.00 90.00°
Sites, in units of the cell vectors:
1 P 0.5000 0.2413 0.7518
2 P 0.0000 0.7595 0.7457
3 P 0.0000 0.2405 0.2543
4 P 0.5000 0.7587 0.2482
5 Ce 0.0000 0.0000 0.0000
6 Ce 0.5000 0.0000 0.5000
7 Nd 0.0000 0.5000 0.5000
8 Pr 0.5000 0.5000 0.0000

Properties
Fermi-level density of states in states/eV/f.u.: 9.409
ΔH_f (0 K) in eV per atom: -1.522
ρ in g/cm³: 5.72
DFT total energy in eV/cell: -55.2

***

Material: Ce3PrNd2P6
Method: DFT, PBE
State: relaxed

Cell: 7.1556 7.1556 7.1583 Å, 99.59 99.59 120.01°
Sites, in units of the cell vectors:
1 P 0.5792 0.9137 0.7412
2 P 0.4208 0.0863 0.2588
3 P 0.7517 0.7517 0.2587
4 P 0.2483 0.2483 0.7413
5 P 0.0863 0.4208 0.2588
6 P 0.9137 0.5792 0.7412
7 Nd 0.6667 0.3333 0.0000
8 Nd 0.3333 0.6667 0.0000
9 Ce 0.5000 0.5000 0.5000
10 Ce 0.8335 0.1665 0.5000
11 Ce 0.1665 0.8335 0.5000
12 Pr 0.0000 0.0000 0.0000

Properties
Fermi-level density of states in states/eV/f.u.: 14.281
ΔH_f (0 K) in eV per atom: -1.523
ρ in g/cm³: 5.75
DFT total energy in eV/cell: -82.9

***

Material: CePr2Nd3P6
Method: DFT, PBE
State: relaxed

Cell: 7.2120 7.2120 7.2123 Å, 99.60 99.60 119.98°
Sites, in units of the cell vectors:
1 P 0.0826 0.4088 0.2481
2 P 0.5912 0.9174 0.7519
3 P 0.7568 0.7568 0.2478
4 P 0.9174 0.5912 0.7519
5 P 0.2432 0.2432 0.7522
6 P 0.4088 0.0826 0.2481
7 Nd 0.8322 0.1678 0.5000
8 Nd 0.5000 0.5000 0.5000
9 Nd 0.1678 0.8322 0.5000
10 Pr 0.6663 0.3337 0.0000
11 Pr 0.3337 0.6663 0.0000
12 Ce 0.0000 0.0000 0.0000

Properties
Fermi-level density of states in states/eV/f.u.: 5.459
ΔH_f (0 K) in eV per atom: -1.534
ρ in g/cm³: 5.64
DFT total energy in eV/cell: -80.7

***

Material: CeNdPu2P4
Method: DFT, PBE
State: relaxed

Cell: 4.0539 6.9693 9.8964 Å, 45.10 90.00 90.00°
Sites, in units of the cell vectors:
1 P 0.5000 0.9091 0.2492
2 P 0.0000 0.4085 0.2585
3 P 0.5000 0.0909 0.7508
4 P 0.0000 0.5915 0.7415
5 Pu 0.0000 0.0000 0.0000
6 Pu 0.5000 0.0000 0.5000
7 Ce 0.0000 0.5000 0.5000
8 Nd 0.5000 0.5000 0.0000

Properties
Fermi-level density of states in states/eV/f.u.: 26.555
ΔH_f (0 K) in eV per atom: -1.070
ρ in g/cm³: 7.52
DFT total energy in eV/cell: -69.6

***

Material: Ce2Nd3PuP6
Method: DFT, PBE
State: relaxed

Cell: 7.1200 7.1200 7.1273 Å, 99.59 99.59 119.99°
Sites, in units of the cell vectors:
1 P 0.0799 0.4108 0.2398
2 P 0.2509 0.2509 0.7597
3 P 0.5892 0.9201 0.7602
4 P 0.4108 0.0799 0.2398
5 P 0.7491 0.7491 0.2403
6 P 0.9201 0.5892 0.7602
7 Pu 0.0000 0.0000 0.0000
8 Nd 0.8327 0.1673 0.5000
9 Nd 0.1673 0.8327 0.5000
10 Nd 0.5000 0.5000 0.5000
11 Ce 0.3334 0.6666 0.0000
12 Ce 0.6666 0.3334 0.0000

Properties
Fermi-level density of states in states/eV/f.u.: 20.551
ΔH_f (0 K) in eV per atom: -1.461
ρ in g/cm³: 6.43
DFT total energy in eV/cell: -90.5

***

Material: CeNd2Pu3P6
Method: DFT, PBE
State: relaxed

Cell: 7.0612 7.0612 7.0236 Å, 99.65 99.65 119.99°
Sites, in units of the cell vectors:
1 Pu 0.5000 0.5000 0.5000
2 Pu 0.1676 0.8324 0.5000
3 Pu 0.8324 0.1676 0.5000
4 P 0.9125 0.5834 0.7371
5 P 0.7588 0.7588 0.2629
6 P 0.4166 0.0875 0.2629
7 P 0.5834 0.9125 0.7371
8 P 0.0875 0.4166 0.2629
9 P 0.2412 0.2412 0.7371
10 Nd 0.6665 0.3335 0.0000
11 Nd 0.3335 0.6665 0.0000
12 Ce 0.0000 0.0000 0.0000

Properties
Fermi-level density of states in states/eV/f.u.: 29.808
ΔH_f (0 K) in eV per atom: -1.337
ρ in g/cm³: 7.82
DFT total energy in eV/cell: -107.0

***

Material: Ce2NdP3Rh12
Method: DFT, PBE
State: relaxed

Cell: 6.7853 6.7853 6.7853 Å, 80.98 80.98 80.98°
Sites, in units of the cell vectors:
1 Rh 0.3587 0.8145 0.8145
2 Rh 0.8145 0.8145 0.3587
3 Rh 0.3504 0.3504 0.9114
4 Rh 0.6413 0.1855 0.1855
5 Rh 0.1855 0.6413 0.1855
6 Rh 0.6496 0.6496 0.0886
7 Rh 0.1855 0.1855 0.6413
8 Rh 0.3504 0.9114 0.3504
9 Rh 0.0886 0.6496 0.6496
10 Rh 0.9114 0.3504 0.3504
11 Rh 0.6496 0.0886 0.6496
12 Rh 0.8145 0.3587 0.8145
13 P 0.5000 0.0000 0.0000
14 P 0.0000 0.0000 0.5000
15 P 0.0000 0.5000 0.0000
16 Ce 0.6152 0.6152 0.6152
17 Ce 0.3848 0.3848 0.3848
18 Nd 0.0000 0.0000 0.0000

Properties
Fermi-level density of states in states/eV/f.u.: 16.574
ΔH_f (0 K) in eV per atom: -0.475
ρ in g/cm³: 9.64
DFT total energy in eV/cell: -129.6

***

Material: CeNd2P3Rh12
Method: DFT, PBE
State: relaxed

Cell: 7.1700 7.1700 7.1700 Å, 72.22 72.22 72.22°
Sites, in units of the cell vectors:
1 Nd 0.6020 0.6020 0.6020
2 Nd 0.3980 0.3980 0.3980
3 Rh 0.8496 0.8496 0.3771
4 Rh 0.3319 0.9099 0.3319
5 Rh 0.9099 0.3319 0.3319
6 Rh 0.8496 0.3771 0.8496
7 Rh 0.1504 0.6229 0.1504
8 Rh 0.6229 0.1504 0.1504
9 Rh 0.6681 0.6681 0.0901
10 Rh 0.3319 0.3319 0.9099
11 Rh 0.0901 0.6681 0.6681
12 Rh 0.6681 0.0901 0.6681
13 Rh 0.3771 0.8496 0.8496
14 Rh 0.1504 0.1504 0.6229
15 P 0.0000 0.5000 0.0000
16 P 0.0000 0.0000 0.5000
17 P 0.5000 0.0000 0.0000
18 Ce 0.0000 0.0000 0.0000

Properties
Fermi-level density of states in states/eV/f.u.: 15.113
ΔH_f (0 K) in eV per atom: -0.358
ρ in g/cm³: 8.98
DFT total energy in eV/cell: -126.4

***

Material: Ce2NdP3Rh4
Method: DFT, PBE
State: relaxed

Cell: 4.0266 4.0266 11.4662 Å, 90.00 90.00 90.00°
Sites, in units of the cell vectors:
1 P 0.5000 0.0000 0.8815
2 P 0.0000 0.0000 0.5000
3 P 0.0000 0.5000 0.1185
4 Rh 0.5000 0.5000 0.0000
5 Rh 0.0000 0.5000 0.3202
6 Rh 0.0000 0.0000 0.0000
7 Rh 0.5000 0.0000 0.6798
8 Ce 0.5000 0.0000 0.2227
9 Ce 0.0000 0.5000 0.7773
10 Nd 0.5000 0.5000 0.5000

Properties
Fermi-level density of states in states/eV/f.u.: 12.154
ΔH_f (0 K) in eV per atom: -1.008
ρ in g/cm³: 8.30
DFT total energy in eV/cell: -72.4

***

Material: CeNdPS
Method: DFT, PBE
State: relaxed

Cell: 4.0951 4.0951 7.1000 Å, 73.24 73.24 60.00°
Sites, in units of the cell vectors:
1 Ce 0.9456 0.9456 0.1632
2 Nd 0.4427 0.4427 0.6718
3 S 0.1956 0.1956 0.4132
4 P 0.6925 0.6925 0.9226

Properties
Fermi-level density of states in states/eV/f.u.: 5.955
Formation energy without anion corrections in eV per atom: -1.82
ρ in g/cm³: 5.93
DFT total energy in eV/cell: -27.5

***

Material: Ce2NdScP4
Method: DFT, PBE
State: relaxed

Cell: 4.0409 6.9636 6.9911 Å, 70.47 90.00 90.00°
Sites, in units of the cell vectors:
1 Nd 0.5000 0.5000 0.0000
2 P 0.5000 0.2593 0.7353
3 P 0.0000 0.7492 0.7381
4 P 0.5000 0.7407 0.2647
5 P 0.0000 0.2508 0.2619
6 Sc 0.0000 0.5000 0.5000
7 Ce 0.5000 0.0000 0.5000
8 Ce 0.0000 0.0000 0.0000

Properties
Fermi-level density of states in states/eV/f.u.: 8.423
ΔH_f (0 K) in eV per atom: -1.472
ρ in g/cm³: 5.31
DFT total energy in eV/cell: -56.4

***

Material: Ce2NdSc3P6
Method: DFT, PBE
State: relaxed

Cell: 6.8409 6.8409 6.7696 Å, 99.69 99.69 120.00°
Sites, in units of the cell vectors:
1 P 0.4285 0.0900 0.2698
2 P 0.9100 0.5715 0.7302
3 P 0.2480 0.2480 0.7288
4 P 0.7520 0.7520 0.2712
5 P 0.5715 0.9100 0.7302
6 P 0.0900 0.4285 0.2698
7 Ce 0.6669 0.3331 0.0000
8 Ce 0.3331 0.6669 0.0000
9 Nd 0.0000 0.0000 0.0000
10 Sc 0.5000 0.5000 0.5000
11 Sc 0.1655 0.8345 0.5000
12 Sc 0.8345 0.1655 0.5000

Properties
Fermi-level density of states in states/eV/f.u.: 9.028
ΔH_f (0 K) in eV per atom: -1.482
ρ in g/cm³: 4.79
DFT total energy in eV/cell: -85.9

***

Material: CeNd3Sc2P6
Method: DFT, PBE
State: relaxed

Cell: 6.9566 6.9566 6.9724 Å, 99.60 99.60 120.00°
Sites, in units of the cell vectors:
1 Sc 0.3331 0.6669 0.0000
2 Sc 0.6669 0.3331 0.0000
3 P 0.5827 0.9232 0.7692
4 P 0.0768 0.4173 0.2308
5 P 0.2644 0.2644 0.7715
6 P 0.4173 0.0768 0.2308
7 P 0.9232 0.5827 0.7692
8 P 0.7356 0.7356 0.2285
9 Nd 0.1654 0.8346 0.5000
10 Nd 0.5000 0.5000 0.5000
11 Nd 0.8346 0.1654 0.5000
12 Ce 0.0000 0.0000 0.0000

Properties
Fermi-level density of states in states/eV/f.u.: 4.435
ΔH_f (0 K) in eV per atom: -1.484
ρ in g/cm³: 5.11
DFT total energy in eV/cell: -83.2

***

Material: CeNdPSe
Method: DFT, PBE
State: relaxed

Cell: 4.1583 4.1583 7.3138 Å, 73.48 73.48 60.00°
Sites, in units of the cell vectors:
1 Nd 0.5057 0.5057 0.4828
2 P 0.2512 0.2512 0.2464
3 Ce 0.9943 0.9943 0.0171
4 Se 0.7488 0.7488 0.7537

Properties
Fermi-level density of states in states/eV/f.u.: 6.398
Formation energy without anion corrections in eV per atom: -1.74
ρ in g/cm³: 6.33
DFT total energy in eV/cell: -26.5

***

Material: Ce3Nd2SmP6
Method: DFT, PBE
State: relaxed

Cell: 7.1292 7.1292 7.1287 Å, 99.60 99.60 120.01°
Sites, in units of the cell vectors:
1 P 0.2456 0.2456 0.7431
2 P 0.4168 0.0854 0.2565
3 P 0.9146 0.5832 0.7435
4 P 0.5832 0.9146 0.7435
5 P 0.7544 0.7544 0.2569
6 P 0.0854 0.4168 0.2565
7 Nd 0.3335 0.6665 0.0000
8 Nd 0.6665 0.3335 0.0000
9 Ce 0.5000 0.5000 0.5000
10 Ce 0.1670 0.8330 0.5000
11 Ce 0.8330 0.1670 0.5000
12 Sm 0.0000 0.0000 0.0000

Properties
Fermi-level density of states in states/eV/f.u.: 14.357
ΔH_f (0 K) in eV per atom: -1.532
ρ in g/cm³: 5.87
DFT total energy in eV/cell: -82.9

***

Material: CeNdSm2P4
Method: DFT, PBE
State: relaxed

Cell: 4.1166 7.1283 7.1232 Å, 109.40 90.00 90.00°
Sites, in units of the cell vectors:
1 Sm 0.0000 0.5000 0.5000
2 Sm 0.5000 0.0000 0.5000
3 Nd 0.0000 0.0000 0.0000
4 P 0.0000 0.2542 0.7517
5 P 0.5000 0.7453 0.7499
6 P 0.5000 0.2547 0.2501
7 P 0.0000 0.7458 0.2483
8 Ce 0.5000 0.5000 0.0000

Properties
Fermi-level density of states in states/eV/f.u.: 5.585
ΔH_f (0 K) in eV per atom: -1.552
ρ in g/cm³: 5.97
DFT total energy in eV/cell: -54.2